This record from Alexandria describes crystalline Rh2Pb3 at its relaxed geometry. The functional is PBE.

Lattice parameters (Å, degrees): 4.7202 4.7202 5.8562 90.00 90.00 120.00
Closest atoms and distances in Å follow each position.
Space group P-3m1 (No. 164)
Inequivalent atoms, fractional coordinates:
Rh (0.3333, 0.6667, 0.3487) x2  8 Pb 2.87-2.96
Pb (0.0000, 0.0000, 0.5000) x1  6 Rh 2.87
Pb (0.3333, 0.6667, 0.8480) x2  5 Rh 2.92-2.96, 3 Pb 3.26

final energy	-5.1762	eV per atom